Record 1
Entry from the Alexandria database: a relaxed PuCdSbAu crystal (PBE).

a b c (Å): 5.1332 5.1332 5.1332
angles (deg): 60.00 60.00 60.00
Each line ends with the local moment (μB).
Fractional coordinates of all 4 atoms:
Sb (0.5000, 0.5000, 0.5000)  0.01
Cd (0.7500, 0.7500, 0.7500)  0.03
Au (0.0000, 0.0000, 0.0000)  -0.01
Pu (0.2500, 0.2500, 0.2500)  5.43

Calculated values
The uncorrected formation energy is -32 kJ per mole of atoms. The value obtained for the density of states at the Fermi level is 12.0 states/eV per cell. The theoretical density comes out at 11.722 g/cm³.

Record 2
Entry from the Alexandria database: a relaxed MnCuS2 crystal (PBE).

a b c (Å): 6.4415 3.1809 6.7907
angles (deg): 89.97 106.09 75.70
Each line ends with the local moment (μB).
Fractional coordinates of all 8 atoms:
S (0.1496, 0.7743, 0.1111)  -0.01
S (0.6726, 0.0133, 0.6067)  0.00
S (0.6413, 0.5284, 0.0697)  -0.06
S (0.2110, 0.2441, 0.6685)  -0.03
Mn (0.3661, 0.1662, 0.0041)  1.77
Mn (0.4762, 0.6113, 0.7368)  0.40
Cu (0.4846, 0.6089, 0.3551)  0.02
Cu (0.9236, 0.3869, 0.8599)  0.00

Calculated values
The uncorrected formation energy is -34 kJ per mole of atoms. The value obtained for the density of states at the Fermi level is 3.7 states/eV per cell. The theoretical density comes out at 4.694 g/cm³.

Record 3
Entry from the Alexandria database: a relaxed Sc2Ge2Ir crystal (PBE).

a b c (Å): 6.5045 6.5045 4.1596
angles (deg): 90.00 90.00 90.00
Fractional coordinates of all 10 atoms:
Sc (0.1715, 0.6715, 0.5000)
Sc (0.6715, 0.8285, 0.5000)
Sc (0.8285, 0.3285, 0.5000)
Sc (0.3285, 0.1715, 0.5000)
Ge (0.3629, 0.8629, 0.0000)
Ge (0.8629, 0.6371, 0.0000)
Ge (0.6371, 0.1371, 0.0000)
Ge (0.1371, 0.3629, 0.0000)
Ir (0.0000, 0.0000, 0.0000)
Ir (0.5000, 0.5000, 0.0000)

Calculated values
For the formation energy, the calculation gives -0.894 eV per atom. The value obtained for the density of states at the Fermi level is 7.9 states/eV per cell. The theoretical density comes out at 8.066 g/cm³.

Record 4
Entry from the Alexandria database: a relaxed LiHo2In2 crystal (PBE).

a b c (Å): 4.8132 6.0238 9.9565
angles (deg): 92.49 76.01 66.45
Fractional coordinates of all 10 atoms:
Li (0.3892, 0.8818, 0.3397)
Li (0.6108, 0.1182, 0.6603)
Ho (0.9138, 0.2536, 0.9188)
Ho (0.3117, 0.7245, 0.6522)
Ho (0.0862, 0.7464, 0.0812)
Ho (0.6883, 0.2755, 0.3478)
In (0.3370, 0.1907, 0.1353)
In (0.9544, 0.6856, 0.4056)
In (0.6630, 0.8093, 0.8647)
In (0.0456, 0.3144, 0.5944)

Calculated values
For the formation energy, the calculation gives -0.349 eV per atom. The offset from the most stable computed form is 0 meV/atom. The value obtained for the density of states at the Fermi level is 6.9 states/eV per cell. The theoretical density comes out at 7.418 g/cm³.

Record 5
Entry from the Alexandria database: a relaxed K2CdSe crystal (PBE).

a b c (Å): 6.3980 6.3980 6.3980
angles (deg): 134.47 134.47 66.35
Fractional coordinates of all 4 atoms:
Cd (0.7500, 0.2500, 0.5000)
K (0.0000, 0.0000, 0.0000)
K (0.2500, 0.7500, 0.5000)
Se (0.5000, 0.5000, 0.0000)

Calculated values
The uncorrected formation energy is -51 kJ per mole of atoms. The offset from the most stable computed form is 127 meV/atom. The theoretical density comes out at 3.410 g/cm³.

Record 6
Entry from the Alexandria database: a relaxed IrOsRu2 crystal (PBE).

a b c (Å): 8.9711 8.9711 8.9711
angles (deg): 17.49 17.49 17.49
Fractional coordinates of all 4 atoms:
Ir (0.5000, 0.5000, 0.5000)
Os (0.7490, 0.7490, 0.7490)
Ru (0.9999, 0.9999, 0.9999)
Ru (0.2511, 0.2511, 0.2511)

Calculated values
For the formation energy, the calculation gives 0.113 eV per atom. The offset from the most stable computed form is 120 meV/atom. The value obtained for the density of states at the Fermi level is 4.9 states/eV per cell. The theoretical density comes out at 17.059 g/cm³.

Record 7
Entry from the Alexandria database: a relaxed Ca2CdSi crystal (PBE).

a b c (Å): 5.3541 6.3151 6.4545
angles (deg): 67.74 84.30 85.03
Fractional coordinates of all 8 atoms:
Ca (0.7604, 0.1338, 0.1125)
Ca (0.2396, 0.8662, 0.8875)
Ca (0.7899, 0.6369, 0.6755)
Ca (0.2101, 0.3631, 0.3245)
Cd (0.3153, 0.8208, 0.4041)
Cd (0.6847, 0.1792, 0.5959)
Si (0.7160, 0.6274, 0.1797)
Si (0.2840, 0.3726, 0.8203)

Calculated values
The uncorrected formation energy is -35 kJ per mole of atoms. The value obtained for the density of states at the Fermi level is 2.8 states/eV per cell. The theoretical density comes out at 3.651 g/cm³.

Record 8
Entry from the Alexandria database: a relaxed Cs2Pr2PuS6 crystal (PBE).

a b c (Å): 7.2127 7.2127 8.6121
angles (deg): 98.28 98.28 119.67
Each line ends with the local moment (μB).
Fractional coordinates of all 11 atoms:
Cs (0.8299, 0.1701, 0.0000)  0.00
Cs (0.1701, 0.8299, 0.0000)  0.00
Pr (0.3338, 0.6662, 0.5000)  0.01
Pr (0.6662, 0.3338, 0.5000)  0.01
Pu (0.0000, 0.0000, 0.5000)  4.51
S (0.7483, 0.7483, 0.6787)  -0.07
S (0.0593, 0.3775, 0.6790)  -0.06
S (0.2517, 0.2517, 0.3213)  -0.07
S (0.3775, 0.0593, 0.6790)  -0.06
S (0.9407, 0.6225, 0.3210)  -0.06
S (0.6225, 0.9407, 0.3210)  -0.06

Calculated values
The uncorrected formation energy is -164 kJ per mole of atoms. The value obtained for the density of states at the Fermi level is 8.1 states/eV per cell. The theoretical density comes out at 4.381 g/cm³.

Record 9
Entry from the Alexandria database: a relaxed Rb2InN crystal (PBE).

a b c (Å): 12.6541 12.6541 9.2046
angles (deg): 46.58 46.58 90.00
Each line ends with the local moment (μB).
Fractional coordinates of all 8 atoms:
N (0.5000, 0.5000, 0.0000)  0.05
N (0.2500, 0.7500, 0.5000)  0.05
Rb (0.4260, 0.1250, 0.2500)  0.02
Rb (0.3240, 0.6250, 0.2500)  0.02
Rb (0.3750, 0.5740, 0.7500)  0.02
Rb (0.8750, 0.6760, 0.7500)  0.02
In (0.0000, 0.0000, 0.0000)  0.03
In (0.7500, 0.2500, 0.5000)  0.03

Calculated values
The uncorrected formation energy is 35 kJ per mole of atoms. The offset from the most stable computed form is 0 meV/atom. The value obtained for the density of states at the Fermi level is 5.1 states/eV per cell. The theoretical density comes out at 2.880 g/cm³.

Record 10
Entry from the Alexandria database: a relaxed BaGaPS2 crystal (PBE).

a b c (Å): 5.9388 5.9388 6.2367
angles (deg): 90.00 90.00 90.00
Each line ends with the local moment (μB).
Fractional coordinates of all 5 atoms:
P (0.0000, 0.0000, 0.5000)  0.93
S (0.0000, 0.5000, 0.0000)  0.53
S (0.5000, 0.0000, 0.0000)  0.53
Ba (0.0000, 0.0000, 0.0000)  0.06
Ga (0.5000, 0.5000, 0.5000)  0.00

Calculated values
The uncorrected formation energy is 55 kJ per mole of atoms. The offset from the most stable computed form is 1126 meV/atom. The value obtained for the density of states at the Fermi level is 5.5 states/eV per cell. The theoretical density comes out at 2.281 g/cm³.

Record 11
Entry from the Alexandria database: a relaxed Dy2PaIr crystal (PBE).

a b c (Å): 3.2984 3.2984 10.8541
angles (deg): 81.26 81.26 60.00
Fractional coordinates of all 4 atoms:
Pa (0.0000, 0.0000, 0.0000)
Dy (0.1016, 0.1016, 0.6951)
Dy (0.8984, 0.8984, 0.3049)
Ir (0.5000, 0.5000, 0.5000)

Calculated values
For the formation energy, the calculation gives 0.090 eV per atom. The value obtained for the density of states at the Fermi level is 4.3 states/eV per cell. The theoretical density comes out at 12.341 g/cm³.

Record 12
Entry from the Alexandria database: a relaxed SrCo2 crystal (PBE).

a b c (Å): 4.6629 4.6629 4.6629
angles (deg): 60.00 60.00 60.00
Each line ends with the local moment (μB).
Fractional coordinates of all 3 atoms:
Co (0.7500, 0.7500, 0.7500)  1.62
Co (0.2500, 0.2500, 0.2500)  1.62
Sr (0.0000, 0.0000, 0.0000)  -0.08

Calculated values
For the formation energy, the calculation gives 1.654 eV per atom. The value obtained for the density of states at the Fermi level is 10.5 states/eV per cell. The theoretical density comes out at 4.760 g/cm³.

Record 13
Entry from the Alexandria database: a relaxed CaTbPrY crystal (PBE).

a b c (Å): 3.6625 3.6625 10.5190
angles (deg): 89.99 90.01 90.00
Fractional coordinates of all 4 atoms:
Ca (0.1462, 0.8538, 0.7274)
Tb (0.1462, 0.8538, 0.2176)
Pr (0.6463, 0.3537, 0.4546)
Y (0.6462, 0.3538, 0.9893)

Calculated values
For the formation energy, the calculation gives 0.054 eV per atom. The offset from the most stable computed form is 0 meV/atom. The value obtained for the density of states at the Fermi level is 6.2 states/eV per cell. The theoretical density comes out at 5.047 g/cm³.

Record 14
Entry from the Alexandria database: a relaxed CdBPt3 crystal (PBE).

a b c (Å): 9.9087 8.6273 8.6273
angles (deg): 90.91 130.14 49.86
Fractional coordinates of all 20 atoms:
B (0.7500, 0.1621, 0.6621)
B (0.2500, 0.8379, 0.3379)
B (0.7500, 0.5469, 0.0469)
B (0.2500, 0.4531, 0.9531)
Pt (0.6601, 0.6221, 0.2172)
Pt (0.8399, 0.7172, 0.1221)
Pt (0.3399, 0.3779, 0.7828)
Pt (0.1601, 0.2828, 0.8779)
Pt (0.8794, 0.9494, 0.9678)
Pt (0.6206, 0.4678, 0.4494)
Pt (0.1206, 0.0506, 0.0322)
Pt (0.3794, 0.5322, 0.5506)
Pt (0.8326, 0.2513, 0.1307)
Pt (0.6674, 0.6307, 0.7513)
Pt (0.1674, 0.7487, 0.8693)
Pt (0.3326, 0.3693, 0.2487)
Cd (0.3411, 0.1496, 0.5403)
Cd (0.1589, 0.0403, 0.6496)
Cd (0.6589, 0.8504, 0.4597)
Cd (0.8411, 0.9597, 0.3504)

Calculated values
For the formation energy, the calculation gives -0.158 eV per atom. The offset from the most stable computed form is 194 meV/atom. The value obtained for the density of states at the Fermi level is 8.7 states/eV per cell. The theoretical density comes out at 14.960 g/cm³.

Record 15
Entry from the Alexandria database: a relaxed Hf3MnTe6 crystal (PBE).

a b c (Å): 8.3321 8.3321 8.3321
angles (deg): 88.04 88.04 88.04
Each line ends with the local moment (μB).
Fractional coordinates of all 20 atoms:
Hf (0.4071, 0.9267, 0.7911)  0.00
Hf (0.9267, 0.7911, 0.4071)  0.00
Hf (0.2089, 0.5929, 0.0733)  0.00
Hf (0.7911, 0.4071, 0.9267)  0.00
Hf (0.0733, 0.2089, 0.5929)  0.00
Hf (0.5929, 0.0733, 0.2089)  0.00
Mn (0.0000, 0.0000, 0.0000)  3.75
Mn (0.5000, 0.5000, 0.5000)  4.06
Te (0.3059, 0.9155, 0.1288)  0.01
Te (0.0845, 0.8712, 0.6941)  0.01
Te (0.5917, 0.8217, 0.4663)  0.01
Te (0.8712, 0.6941, 0.0845)  0.01
Te (0.4663, 0.5917, 0.8217)  0.01
Te (0.1783, 0.5337, 0.4083)  0.01
Te (0.8217, 0.4663, 0.5917)  0.01
Te (0.5337, 0.4083, 0.1783)  0.01
Te (0.1288, 0.3059, 0.9155)  0.01
Te (0.4083, 0.1783, 0.5337)  0.01
Te (0.9155, 0.1288, 0.3059)  0.01
Te (0.6941, 0.0845, 0.8712)  0.01

Calculated values
The uncorrected formation energy is -43 kJ per mole of atoms. The value obtained for the density of states at the Fermi level is 10.3 states/eV per cell. The theoretical density comes out at 7.799 g/cm³.

Record 16
Entry from the Alexandria database: a relaxed ZnNiP2 crystal (PBE).

a b c (Å): 2.7865 2.7865 7.1502
angles (deg): 90.00 90.00 90.00
Fractional coordinates of all 4 atoms:
Ni (0.5000, 0.5000, 0.7500)
P (0.0000, 0.0000, 0.9617)
P (0.0000, 0.0000, 0.5383)
Zn (0.5000, 0.5000, 0.2500)

Calculated values
For the formation energy, the calculation gives 0.155 eV per atom. The value obtained for the density of states at the Fermi level is 2.0 states/eV per cell. The theoretical density comes out at 5.565 g/cm³.

Record 17
Entry from the Alexandria database: a relaxed Pu2Si4Ni3Ru crystal (PBE).

a b c (Å): 4.0038 4.0038 9.6199
angles (deg): 90.00 90.00 90.00
Each line ends with the local moment (μB).
Fractional coordinates of all 10 atoms:
Pu (0.5000, 0.0000, 0.2427)  5.00
Pu (0.0000, 0.5000, 0.7573)  5.00
Si (0.5000, 0.5000, 0.0000)  -0.03
Si (0.0000, 0.0000, 0.0000)  -0.02
Si (0.5000, 0.0000, 0.6354)  -0.02
Si (0.0000, 0.5000, 0.3646)  -0.02
Ni (0.0000, 0.0000, 0.5000)  0.07
Ni (0.5000, 0.0000, 0.8772)  0.01
Ni (0.0000, 0.5000, 0.1228)  0.01
Ru (0.5000, 0.5000, 0.5000)  -0.05

Calculated values
The uncorrected formation energy is -64 kJ per mole of atoms. The value obtained for the density of states at the Fermi level is 25.2 states/eV per cell. The theoretical density comes out at 9.449 g/cm³.

Record 18
Entry from the Alexandria database: a relaxed Pr4Y7Th crystal (PBE).

a b c (Å): 6.0059 11.8455 6.8334
angles (deg): 83.54 63.93 75.31
Fractional coordinates of all 12 atoms:
Pr (0.6410, 0.2226, 0.4955)
Pr (0.3590, 0.7774, 0.5045)
Pr (0.7781, 0.6642, 0.7797)
Pr (0.2219, 0.3358, 0.2203)
Y (0.7875, 0.9232, 0.5018)
Y (0.2125, 0.0768, 0.4982)
Y (0.0683, 0.6886, 0.1748)
Y (0.9317, 0.3114, 0.8252)
Y (0.3680, 0.4946, 0.7694)
Y (0.5000, 0.0000, 0.0000)
Y (0.6320, 0.5054, 0.2306)
Th (0.0000, 0.0000, 0.0000)

Calculated values
For the formation energy, the calculation gives 0.289 eV per atom. The offset from the most stable computed form is 269 meV/atom. The value obtained for the density of states at the Fermi level is 19.3 states/eV per cell. The theoretical density comes out at 5.574 g/cm³.

Record 19
Entry from the Alexandria database: a relaxed PmSmGe2Pd5 crystal (PBE).

a b c (Å): 4.2812 4.2812 9.1549
angles (deg): 90.00 90.00 90.00
Fractional coordinates of all 9 atoms:
Pm (0.0000, 0.0000, 0.0000)
Sm (0.0000, 0.0000, 0.5000)
Ge (0.5000, 0.5000, 0.1358)
Ge (0.5000, 0.5000, 0.8642)
Pd (0.0000, 0.5000, 0.2753)
Pd (0.5000, 0.0000, 0.2753)
Pd (0.0000, 0.5000, 0.7247)
Pd (0.5000, 0.0000, 0.7247)
Pd (0.5000, 0.5000, 0.5000)

Calculated values
For the formation energy, the calculation gives -0.828 eV per atom. The value obtained for the density of states at the Fermi level is 2.8 states/eV per cell. The theoretical density comes out at 9.626 g/cm³.

Record 20
Entry from the Alexandria database: a relaxed Pu3GeOs crystal (PBE).

a b c (Å): 3.1578 7.8001 8.9676
angles (deg): 90.00 90.00 90.01
Each line ends with the local moment (μB).
Fractional coordinates of all 10 atoms:
Pu (0.0904, 0.9348, 0.5933)  -5.07
Pu (0.0907, 0.2855, 0.6811)  5.12
Pu (0.0907, 0.2855, 0.0942)  5.12
Pu (0.0908, 0.6898, 0.8878)  -4.96
Pu (0.0904, 0.9348, 0.1820)  -5.07
Pu (0.0908, 0.5320, 0.3878)  -4.88
Ge (0.5904, 0.0437, 0.8876)  0.01
Ge (0.5904, 0.1785, 0.3876)  0.04
Os (0.5908, 0.6193, 0.1413)  0.46
Os (0.5908, 0.6193, 0.6342)  0.46

Calculated values
For the formation energy, the calculation gives -0.118 eV per atom. The offset from the most stable computed form is 48 meV/atom. The value obtained for the density of states at the Fermi level is 35.7 states/eV per cell. The theoretical density comes out at 14.958 g/cm³.